# CdNiOsC2

A relaxed structure of CdNiOsC2 (PBE-GGA, Alexandria).

Computed properties:
ΔH_f (0 K): 2.0935 eV per atom
magnetic moment: 0.43 μB/atom

The structure in POSCAR format:
```
CdNiOsC2
1.0
3.753 0.000 0.000
0.000 5.053 0.000
0.000 0.000 3.753
C Os Ni Cd
2 1 1 1
direct
0.500 0.000 0.000
0.000 0.000 0.500
0.000 0.500 0.000
0.000 0.000 0.000
0.500 0.500 0.500
```